Record 1
Density functional theory data (PBE-GGA) for crystalline BaInAu2 at its relaxed geometry.

The calculation puts the volume at 27.7 Å³/atom. For the energy, the calculation gives -3.176 eV/atom. The density comes out at 9.70 g/cm3. The value obtained for the formation energy is -35.9 kJ/mol of atoms. The calculation puts the density of states at the Fermi level at 3.4 states/eV/cell. The symmetry is Imm2 (44).

a = 4.060 Å, b = 5.522 Å, c = 9.868 Å
α = 90.00°, β = 90.00°, γ = 90.00°
Positions (direct):
Ba1 0.000 0.000 0.000
Ba2 0.500 0.500 0.500
In1 0.000 0.500 0.790
In2 0.500 0.000 0.290
Au1 0.000 0.000 0.508
Au2 0.000 0.500 0.219
Au3 0.500 0.000 0.719
Au4 0.500 0.500 0.008

=====

Record 2
Density functional theory data (PBE-GGA) for crystalline Ba2InAu at its relaxed geometry.

The calculation puts the volume at 38.1 Å³/atom. For the energy, the calculation gives -2.983 eV/atom. The density comes out at 6.38 g/cm3. The value obtained for the formation energy is -50.0 kJ/mol of atoms. The calculation puts the density of states at the Fermi level at 5.6 states/eV/cell. The symmetry is P2_1/m (11).

a = 6.507 Å, b = 5.051 Å, c = 9.611 Å
α = 90.00°, β = 105.07°, γ = 90.00°
Positions (direct):
Ba1 0.209 0.250 0.433
Ba2 0.278 0.750 0.075
Ba3 0.722 0.250 0.925
Ba4 0.791 0.750 0.567
In1 0.345 0.750 0.724
In2 0.655 0.250 0.276
Au1 0.163 0.250 0.784
Au2 0.837 0.750 0.216

=====

Record 3
Density functional theory data (PBE-GGA) for crystalline BaIn2Au2 at its relaxed geometry.

The calculation puts the volume at 26.2 Å³/atom. For the energy, the calculation gives -3.068 eV/atom. The density comes out at 9.64 g/cm3. The value obtained for the formation energy is -26.8 kJ/mol of atoms. The calculation puts the density of states at the Fermi level at 6.3 states/eV/cell. The symmetry is P4/mbm (127).

a = 8.570 Å, b = 8.570 Å, c = 3.569 Å
α = 90.00°, β = 90.00°, γ = 90.00°
Positions (direct):
Ba1 0.000 0.000 0.000
Ba2 0.500 0.500 0.000
In1 0.122 0.378 0.000
In2 0.378 0.878 0.000
In3 0.622 0.122 0.000
In4 0.878 0.622 0.000
Au1 0.178 0.678 0.500
Au2 0.322 0.178 0.500
Au3 0.678 0.822 0.500
Au4 0.822 0.322 0.500

=====

Record 4
Density functional theory data (PBE-GGA) for crystalline Ba2In5Au at its relaxed geometry.

The calculation puts the volume at 31.0 Å³/atom. For the energy, the calculation gives -3.047 eV/atom. The density comes out at 7.00 g/cm3. The value obtained for the formation energy is -43.0 kJ/mol of atoms. The calculation puts the density of states at the Fermi level at 9.1 states/eV/cell. The symmetry is Cmcm (63).

a = 9.821 Å, b = 9.821 Å, c = 10.415 Å
α = 90.00°, β = 90.00°, γ = 150.42°
Positions (direct):
Ba1 0.000 0.000 0.000
Ba2 0.000 0.000 0.500
Ba3 0.200 0.800 0.750
Ba4 0.800 0.200 0.250
In1 0.190 0.810 0.105
In2 0.190 0.810 0.395
In3 0.355 0.645 0.029
In4 0.355 0.645 0.471
In5 0.411 0.589 0.750
In6 0.589 0.411 0.250
In7 0.645 0.355 0.529
In8 0.645 0.355 0.971
In9 0.810 0.190 0.605
In10 0.810 0.190 0.895
Au1 0.442 0.558 0.250
Au2 0.558 0.442 0.750

=====

Record 5
Density functional theory data (PBE-GGA) for crystalline Ba8InIrAu2 at its relaxed geometry.

The calculation puts the volume at 50.2 Å³/atom. For the energy, the calculation gives -3.137 eV/atom. The density comes out at 4.96 g/cm3. The value obtained for the formation energy is -33.0 kJ/mol of atoms. The calculation puts the density of states at the Fermi level at 9.5 states/eV/cell. The symmetry is P2/m (10).

a = 7.672 Å, b = 9.996 Å, c = 7.850 Å
α = 90.00°, β = 90.90°, γ = 90.00°
Positions (direct):
Ba1 0.218 0.220 0.172
Ba2 0.218 0.780 0.172
Ba3 0.261 0.000 0.691
Ba4 0.281 0.500 0.661
Ba5 0.719 0.500 0.339
Ba6 0.739 0.000 0.309
Ba7 0.782 0.220 0.828
Ba8 0.782 0.780 0.828
In1 0.000 0.500 0.000
Ir1 0.000 0.000 0.000
Au1 0.500 0.245 0.500
Au2 0.500 0.755 0.500

=====

Record 6
Density functional theory data (PBE-GGA) for crystalline KBaIn2Au2 at its relaxed geometry.

The calculation puts the volume at 31.5 Å³/atom. For the energy, the calculation gives -2.911 eV/atom. The density comes out at 7.03 g/cm3. The value obtained for the formation energy is -38.8 kJ/mol of atoms. The calculation puts the density of states at the Fermi level at 2.6 states/eV/cell. The symmetry is P-3m1 (164).

a = 4.923 Å, b = 4.923 Å, c = 9.006 Å
α = 90.00°, β = 90.00°, γ = 120.00°
Positions (direct):
K1 0.000 0.000 0.000
Ba1 0.000 0.000 0.500
In1 0.333 0.667 0.750
In2 0.667 0.333 0.250
Au1 0.333 0.667 0.266
Au2 0.667 0.333 0.734

=====

Record 7
Density functional theory data (PBE-GGA) for crystalline BaLaInAu at its relaxed geometry.

The calculation puts the volume at 32.2 Å³/atom. For the energy, the calculation gives -3.695 eV/atom. The density comes out at 7.58 g/cm3. The value obtained for the formation energy is -46.1 kJ/mol of atoms. The calculation puts the density of states at the Fermi level at 13.4 states/eV/cell. The symmetry is F-43m (216).

a = 8.016 Å, b = 8.016 Å, c = 8.016 Å
α = 90.00°, β = 90.00°, γ = 90.00°
Positions (direct):
Ba1 0.000 0.000 0.000
Ba2 0.000 0.500 0.500
Ba3 0.500 0.000 0.500
Ba4 0.500 0.500 0.000
La1 0.000 0.000 0.500
La2 0.000 0.500 0.000
La3 0.500 0.000 0.000
La4 0.500 0.500 0.500
In1 0.250 0.250 0.250
In2 0.250 0.750 0.750
In3 0.750 0.250 0.750
In4 0.750 0.750 0.250
Au1 0.250 0.250 0.750
Au2 0.250 0.750 0.250
Au3 0.750 0.250 0.250
Au4 0.750 0.750 0.750

=====

Record 8
Density functional theory data (PBE-GGA) for crystalline Ba2LiInAu at its relaxed geometry.

The calculation puts the volume at 39.2 Å³/atom. For the energy, the calculation gives -2.683 eV/atom. The density comes out at 5.03 g/cm3. The value obtained for the formation energy is -31.6 kJ/mol of atoms. The calculation puts the density of states at the Fermi level at 3.8 states/eV/cell. The symmetry is P4/mmm (123).

a = 6.359 Å, b = 6.359 Å, c = 4.842 Å
α = 90.00°, β = 90.00°, γ = 90.00°
Positions (direct):
Ba1 0.000 0.500 0.000
Ba2 0.500 0.000 0.000
Li1 0.000 0.000 0.500
In1 0.500 0.500 0.500
Au1 0.000 0.000 0.000